No. 1
Ta2HIrAu | GGA-PBE | relaxed

Cell lengths 4.1212, 4.1212, 4.0715 Å; angles 90.00, 90.00, 90.00 degrees
Fractional positions:
1 Ta 0.0000 0.5000 0.0000
2 Ta 0.5000 0.0000 0.0000
3 H 0.0000 0.0000 0.0000
4 Ir 0.0000 0.0000 0.5000
5 Au 0.5000 0.5000 0.5000

Calculated values
The value obtained for the total energy is -40.0 eV for the cell shown. Its total moment is 0.0 μB/f.u. The excess energy over the best structure of this formula in the dataset comes out at 0.00 kcal/mol of atoms. The calculated volume is 13.8 A^3/atom.



No. 2
TbH4IrAu2 | GGA-PBE | relaxed

Cell lengths 5.0661, 5.0725, 5.1695 Å; angles 114.56, 93.30, 119.45 degrees
Fractional positions:
1 Tb 0.0000 0.0000 0.0000
2 H 0.2400 0.0604 0.6105
3 H 0.5022 0.0650 0.0615
4 H 0.8047 0.4262 0.6364
5 H 0.9653 0.4961 0.1225
6 Ir 0.6184 0.2411 0.8446
7 Au 0.2353 0.4846 0.7092
8 Au 0.6001 0.7285 0.3533

Calculated values
The value obtained for the total energy is -35.8 eV for the cell shown. Its total moment is 0.0 μB/f.u. The calculated volume is 12.4 A^3/atom.